DFT (PBE) results for Li3InAg7 after structural relaxation.

## Properties
Its calculated volume is 207 Å³ per cell. The calculation puts the energy of formation at -0.006 eV/atom. Its final energy is -28.50 eV/cell. Its calculated density is 7.2 Mg/m³.

```
data_Li3InAg7
_chemical_formula_sum 'Li3 In1 Ag7'
_cell_length_a 6.426
_cell_length_b 6.426
_cell_length_c 5.435
_cell_angle_alpha 104.03
_cell_angle_beta 104.03
_cell_angle_gamma 97.74
_symmetry_space_group_name_H-M 'P 1'
_symmetry_Int_Tables_number 1
_symmetry_space_group_name_Hall 'P 1'
loop_
_atom_site_label
_atom_site_fract_x
_atom_site_fract_y
_atom_site_fract_z
Li1 0.000 0.000 0.000
Li2 0.231 0.769 0.500
Li3 0.769 0.231 0.500
In1 0.500 0.500 0.000
Ag1 0.057 0.587 0.806
Ag2 0.178 0.178 0.543
Ag3 0.413 0.943 0.194
Ag4 0.500 0.500 0.500
Ag5 0.587 0.057 0.806
Ag6 0.822 0.822 0.457
Ag7 0.943 0.413 0.194
```